Sm6As2Se3I (GGA-PBE, optimized geometry); uncorrected energy = -5.711 eV/atom; N(E_F) = 0.428 states/eV per atom; total moment = 0.00 μB/cell
1.0
-3.723 -0.440 1.963
3.873 -4.006 6.447
2.210 9.042 1.658
Sm As Se I
6 2 3 1
direct
0.319 0.896 0.638
0.669 0.578 0.338
0.681 0.104 0.362
0.007 0.285 0.014
0.993 0.715 0.986
0.331 0.422 0.662
0.832 0.666 0.665
0.168 0.334 0.335
0.500 0.500 0.000
0.842 0.164 0.683
0.158 0.836 0.317
0.500 0.000 0.000

---

Sm6As3Se2I (GGA-PBE, optimized geometry); uncorrected energy = -5.792 eV/atom; N(E_F) = 0.389 states/eV per atom; total moment = 0.00 μB/cell
1.0
-4.046 -0.392 -1.135
-1.450 -4.928 6.873
0.342 8.847 3.568
Sm As Se I
6 3 2 1
direct
0.320 0.918 0.641
0.665 0.592 0.329
0.680 0.082 0.359
0.999 0.281 0.998
0.001 0.719 0.002
0.335 0.408 0.671
0.500 0.500 0.000
0.838 0.167 0.676
0.162 0.833 0.324
0.833 0.668 0.667
0.167 0.332 0.333
0.500 0.000 0.000

---

Number 1: formation energy from raw total energies -18.9 eV per formula unit. Number 2: formation energy from raw total energies -18.7 eV per formula unit.